DFT (GGA-PBE) results for a relaxed structure of Nd4Te5F.

Unit cell a=19.702 b=4.246 c=7.889 alpha=90.00 beta=97.72 gamma=90.00
Space group C2/m (No. 12)
Symmetry-distinct sites (fractional):
Nd  0.023  0.000  0.223 x4
Nd  0.223  0.500  0.228 x4
Te  0.000  0.500  0.500 x2
Te  0.143  0.000  0.963 x4
Te  0.163  0.000  0.456 x4
F  0.000  0.500  0.000 x2

Output
ΔE_f (raw) (meV/atom): -1577
Size of the total moment (μB per cell): 0.00